1.
## FeCo3H (PBE-GGA)

Data for a geometry-optimized FeCo3H structure.

Properties
uncorrected energy	-6.62	eV per atom
density	8.43	Mg/m³
total moment	1.352	μB per atom
distance to the lowest polymorph of the same formula	0.0	kJ per mole of atoms

Cell: 4.1215 4.4186 5.0529 Å, 90.00 90.00 89.78°
With the nearest neighbours (Å) after each atom.
Fractional coordinates of all 10 atoms:
Co 0.7576 0.8314 0.0003  2 H 1.80-1.81
Co 0.2424 0.1686 0.9997  2 H 1.80-1.81
Co 0.2416 0.6639 0.7500  1 H 1.83
Co 0.7576 0.8314 0.4997  2 H 1.80-1.81
Fe 0.7611 0.3453 0.7500  1 H 1.87
Fe 0.2389 0.6547 0.2500  1 H 1.87
Co 0.7584 0.3361 0.2500  1 H 1.83
H 0.5021 0.9992 0.7500  5 Co 1.80-1.83, 1 Fe 1.87
Co 0.2424 0.1686 0.5003  2 H 1.80-1.81
H 0.4979 0.0008 0.2500  5 Co 1.80-1.83, 1 Fe 1.87



2.
## FeCo2H2 (PBE-GGA)

Data for a geometry-optimized FeCo2H2 structure.

Properties
uncorrected energy	-5.87	eV per atom
density	7.97	Mg/m³
total moment	0.936	μB per atom
distance to the lowest polymorph of the same formula	0.0	kJ per mole of atoms

Cell: 2.5776 2.5777 6.3603 Å, 90.00 90.00 120.00°
With the nearest neighbours (Å) after each atom.
Fractional coordinates of all 5 atoms:
H 0.8333 0.1666 0.1748  3 Co 1.84, 3 Fe 1.86
H 0.1667 0.8334 0.8252  3 Co 1.84, 3 Fe 1.86
Co 0.1666 0.8332 0.3440  3 H 1.84
Fe 0.5000 0.5000 0.0000  6 H 1.86
Co 0.8334 0.1668 0.6560  3 H 1.84



3.
## FeCo8H6 (PBE-GGA)

Data for a geometry-optimized FeCo8H6 structure.

Properties
uncorrected energy	-5.69	eV per atom
density	8.13	Mg/m³
total moment	0.840	μB per atom

Cell: 4.4606 4.4606 6.8285 Å, 70.94 70.94 60.00°
With the nearest neighbours (Å) after each atom.
Fractional coordinates of all 15 atoms:
Co 0.8856 0.2165 0.3436  3 H 1.84-1.87
H 0.6037 0.2848 0.1681  5 Co 1.81-1.87, 1 Fe 1.85
Co 0.3331 0.3331 0.0008  6 H 1.81-1.82
Fe 0.0000 0.0000 0.0000  6 H 1.85
H 0.2848 0.9435 0.1681  5 Co 1.81-1.87, 1 Fe 1.85
Co 0.4457 0.1144 0.6564  3 H 1.84-1.87
Co 0.5543 0.8856 0.3436  3 H 1.84-1.87
Co 0.6669 0.6669 0.9992  6 H 1.81-1.82
Co 0.7835 0.4457 0.6564  3 H 1.84-1.87
H 0.3963 0.7152 0.8319  5 Co 1.81-1.87, 1 Fe 1.85
Co 0.2165 0.5543 0.3436  3 H 1.84-1.87
Co 0.1144 0.7835 0.6564  3 H 1.84-1.87
H 0.9435 0.6037 0.1681  5 Co 1.81-1.87, 1 Fe 1.85
H 0.7152 0.0565 0.8319  5 Co 1.81-1.87, 1 Fe 1.85
H 0.0565 0.3963 0.8319  5 Co 1.81-1.87, 1 Fe 1.85



4.
## Fe3Co4H9 (PBE-GGA)

Data for a geometry-optimized Fe3Co4H9 structure.

Properties
uncorrected energy	-5.17	eV per atom
density	6.74	Mg/m³
total moment	0.691	μB per atom

Cell: 4.2210 4.2210 7.0239 Å, 72.51 72.51 60.00°
With the nearest neighbours (Å) after each atom.
Fractional coordinates of all 16 atoms:
H 0.2921 0.4130 0.4330  3 Co 1.75-1.85, 2 Fe 1.80-1.86
Co 0.2522 0.2522 0.2434  6 H 1.71-1.75
H 0.1248 0.7368 0.8078  2 Co 1.67-1.68, 1 Fe 1.78
H 0.9814 0.4241 0.0639  2 Co 1.67-1.71
H 0.5307 0.9814 0.0639  2 Co 1.67-1.71
Co 0.7247 0.7247 0.8260  3 H 1.68
H 0.3305 0.1248 0.8078  2 Co 1.67-1.68, 1 Fe 1.78
H 0.8620 0.2921 0.4330  3 Co 1.75-1.85, 2 Fe 1.80-1.86
H 0.4241 0.5307 0.0639  2 Co 1.67-1.71
H 0.4130 0.8620 0.4330  3 Co 1.75-1.85, 2 Fe 1.80-1.86
Co 0.5893 0.5893 0.2320  6 H 1.67-1.83
Fe 0.9818 0.9818 0.0546  6 H 1.89-2.06
Fe 0.4580 0.4580 0.6259  6 H 1.78-1.80
Fe 0.8540 0.8540 0.4381  3 H 1.86
Co 0.1185 0.1185 0.6445  6 H 1.67-1.85
H 0.7368 0.3305 0.8078  2 Co 1.67-1.68, 1 Fe 1.78